Crystalline TaCuP2 at its relaxed geometry, computed with PBE.

abc: 3.4160 3.4168 5.0800
angles: 90.00 90.00 90.00
With the nearest neighbours (Å) after each atom.
Atoms (fractional coordinates):
Ta  0.0000  0.0000  0.4633  5 P 2.39-2.56
P  0.5000  0.5000  0.2975  2 Cu 2.50-2.58, 4 Ta 2.56
P  0.0000  0.0000  0.9340  1 Ta 2.39, 4 Cu 2.50
Cu  0.5000  0.5000  0.8052  6 P 2.50-2.58

Summary:
Its energy above the most stable polymorph in this dataset is 0.27 eV per formula unit. Its total magnetization is 0.0 μB/f.u. The value obtained for the volume is 59.29 Å³/f.u. As for the formation energy from the elements: -0.2736 eV/atom.